Record 1
Density functional theory data (PBE-GGA) for crystalline Os2RuRh6 at its relaxed geometry.

As for the calculated formation energy: 0.014 eV/atom. The density comes out at 14.30 g/cm3. The offset from the most stable computed form is 0.00 eV per formula unit.

The structure belongs to space group Fmmm (No. 69); the cell edges are 3.835, 11.522 and 11.554 Å and the angles 90.00°, 90.00° and 90.00°. The inequivalent atoms are Os at (0.000, 0.168, 0.000), Ru at (0.000, 0.000, 0.500), Rh at (0.000, 0.000, 0.162) and Rh at (0.000, 0.167, 0.338).

***

Record 2
Density functional theory data (PBE-GGA) for crystalline Pr3Au at its relaxed geometry.

As for the calculated formation energy: -0.207 eV/atom. The density comes out at 8.73 g/cm3. The offset from the most stable computed form is 0.57 eV per formula unit.

The structure belongs to space group I4/mmm (No. 139); the cell edges are 4.728, 4.728 and 10.549 Å and the angles 90.00°, 90.00° and 90.00°. The inequivalent atoms are Pr at (0.000, 0.000, 0.000), Pr at (0.000, 0.500, 0.250) and Au at (0.000, 0.000, 0.500).

***

Record 3
Density functional theory data (PBE-GGA) for crystalline EuThH at its relaxed geometry.

The density comes out at 9.14 g/cm3. The electronic total energy is -7.104 eV per atom.

The structure belongs to space group Pnma (No. 62); the cell edges are 12.444, 3.587 and 6.268 Å and the angles 90.00°, 90.00° and 90.00°. The inequivalent atoms are Eu at (0.001, 0.250, 0.247), Th at (0.249, 0.250, 0.911) and H at (0.133, 0.750, 0.087).

***

Record 4
Density functional theory data (PBE-GGA) for crystalline Mg2SiTc at its relaxed geometry.

Its formation energy (no corrections) is 0.004 eV/atom. The density comes out at 4.32 g/cm3.

The structure belongs to space group Pm (No. 6); the cell edges are 2.909, 4.326 and 5.527 Å and the angles 90.00°, 105.22° and 90.00°. The inequivalent atoms are Mg at (0.000, 0.000, 0.000), Mg at (0.345, 0.500, 0.695), Si at (0.625, 0.500, 0.249) and Tc at (0.729, 0.000, 0.461).

***

Record 5
Density functional theory data (PBE-GGA) for crystalline RbIn6Ag at its relaxed geometry.

As for the calculated formation energy: -0.082 eV/atom. The density comes out at 6.18 g/cm3.

The structure belongs to space group P4/mmm (No. 123); the cell edges are 5.079, 5.079 and 9.192 Å and the angles 90.00°, 90.00° and 90.00°. The inequivalent atoms are Rb at (0.000, 0.000, 0.000), In at (0.000, 0.500, 0.333), In at (0.500, 0.500, 0.158) and Ag at (0.000, 0.000, 0.500).

***

Record 6
Density functional theory data (PBE-GGA) for crystalline InCuIO2 at its relaxed geometry.

Its formation energy (no corrections) is 0.203 eV/atom. The density comes out at 6.72 g/cm3. The offset from the most stable computed form is 1.75 eV per formula unit.

The structure belongs to space group P4/mmm (No. 123); the cell edges are 4.068, 4.068 and 5.034 Å and the angles 90.00°, 90.00° and 90.00°. The inequivalent atoms are In at (0.000, 0.000, 0.000), Cu at (0.500, 0.500, 0.500), I at (0.500, 0.500, 0.000) and O at (0.000, 0.500, 0.500).